[1]
First-principles (GGA-PBE) data for an optimized crystal structure of Ce3Si5Ir6, as listed in Alexandria.

Computed properties:
Its total energy is -7.980 eV per atom. Its space group is Pmmn, No. 59. Its size of the total moment is 0.01 μB/atom. The crystal system is orthorhombic.

extended XYZ file:
```
28
Lattice="-2.484 2.927 1.295 -0.348 -4.226 8.884 9.745 6.694 3.565" Properties=species:S:1:pos:R:3 pbc="T T T"
Ce 6.308 3.317 4.604
Ce 0.023 -0.639 7.825
Ce 6.720 3.961 10.275
Ce -0.088 -1.064 2.237
Ce 3.371 1.649 9.077
Ce 3.260 1.223 3.488
Si 8.398 3.739 7.659
Si 6.283 0.918 9.977
Si -0.308 -3.745 7.874
Si 4.630 3.539 7.219
Si 3.591 4.330 3.440
Si 0.993 -1.347 4.950
Si 2.290 1.932 6.363
Si 2.870 -1.426 8.728
Si 6.745 6.360 4.902
Si 0.413 2.011 2.585
Ir 8.095 5.519 3.056
Ir 4.933 1.759 11.823
Ir 6.384 5.124 7.002
Ir -1.418 -0.679 5.152
Ir 4.701 1.264 6.162
Ir 6.644 2.154 7.877
Ir 2.681 -0.568 6.427
Ir -1.249 1.373 0.837
Ir 1.642 1.086 0.695
Ir 0.602 1.153 4.887
Ir 4.532 -0.789 10.477
Ir 1.641 -0.502 10.619
```

[2]
First-principles (GGA-PBE) data for an optimized crystal structure of CeSiIr2, as listed in Alexandria.

Computed properties:
Its total energy is -8.266 eV per atom. Its space group is I4_1/amd, No. 141. Its size of the total moment is 0.12 μB/atom. The crystal system is tetragonal.

extended XYZ file:
```
16
Lattice="-1.395 0.825 3.712 -2.205 -3.397 -0.074 15.605 -7.831 5.396" Properties=species:S:1:pos:R:3 pbc="T T T"
Ce 8.959 -5.917 4.682
Ce 1.359 -0.946 2.931
Ce 11.051 -7.346 7.996
Ce 3.046 -4.486 4.352
Si 5.906 -3.901 3.087
Si 11.707 -10.157 6.657
Si -0.106 -2.356 0.484
Si 6.099 -6.502 5.947
Ir 5.800 -6.257 3.571
Ir 0.000 0.000 0.000
Ir -1.800 -1.286 1.819
Ir 6.205 -4.146 5.463
Ir 4.089 -2.700 2.137
Ir 9.889 -8.957 5.708
Ir 1.711 -3.556 1.434
Ir 7.916 -7.702 6.897
```

[3]
First-principles (GGA-PBE) data for an optimized crystal structure of CeSi3Ir3, as listed in Alexandria.

Computed properties:
Its total energy is -7.429 eV per atom. Its space group is Pm-3n, No. 223. Its size of the total moment is 0.19 μB/atom. The crystal system is cubic.

extended XYZ file:
```
14
Lattice="6.574 0.000 0.000 0.000 6.574 0.000 0.000 0.000 6.574" Properties=species:S:1:pos:R:3 pbc="T T T"
Si 0.000 1.643 3.287
Si 0.000 4.930 3.287
Si 3.287 0.000 4.930
Si 4.930 3.287 0.000
Si 3.287 0.000 1.643
Si 1.643 3.287 0.000
Ir 1.643 0.000 3.287
Ir 0.000 3.287 1.643
Ir 3.287 4.930 0.000
Ir 4.930 0.000 3.287
Ir 0.000 3.287 4.930
Ir 3.287 1.643 0.000
Ce 3.287 3.287 3.287
Ce 0.000 0.000 0.000
```

[4]
First-principles (GGA-PBE) data for an optimized crystal structure of Ce2Si4Ir5, as listed in Alexandria.

Computed properties:
Its total energy is -7.949 eV per atom. Its space group is Fmmm, No. 69. Its size of the total moment is 0.11 μB/atom. The crystal system is orthorhombic.

extended XYZ file:
```
11
Lattice="5.629 0.000 0.000 2.814 4.853 0.000 2.814 0.000 7.084" Properties=species:S:1:pos:R:3 pbc="T T T"
Ce 5.629 0.000 1.823
Ce 2.814 0.000 5.261
Si 5.629 1.504 5.223
Si 5.629 3.349 1.862
Si 2.814 1.504 1.862
Si 8.443 3.349 5.223
Ir 2.814 0.000 0.000
Ir 1.407 2.427 0.000
Ir 4.221 2.427 0.000
Ir 4.221 2.427 3.542
Ir 7.036 2.427 3.542
```

[5]
First-principles (GGA-PBE) data for an optimized crystal structure of Ce8SiIr2, as listed in Alexandria.

Computed properties:
Its total energy is -6.776 eV per atom. Its space group is C2/m, No. 12. Its size of the total moment is 0.14 μB/atom. The crystal system is monoclinic.

extended XYZ file:
```
11
Lattice="-3.659 2.666 -2.266 -7.097 -4.016 1.892 -4.214 1.767 6.461" Properties=species:S:1:pos:R:3 pbc="T T T"
Ce -4.799 2.568 -0.643
Ce -8.737 2.771 3.534
Ce -3.972 -0.683 -0.012
Ce -9.244 -0.881 3.393
Ce -5.726 1.297 2.695
Ce -6.784 -0.667 -0.362
Ce -6.233 -2.354 2.554
Ce -10.171 -2.151 6.730
Si -1.830 1.333 -1.133
Ir -3.800 -0.580 3.032
Ir -7.510 -1.669 5.321
```

[6]
First-principles (GGA-PBE) data for an optimized crystal structure of Ce8Si2Ir, as listed in Alexandria.

Computed properties:
Its total energy is -6.476 eV per atom. Its space group is C2/m, No. 12. Its size of the total moment is 0.18 μB/atom. The crystal system is monoclinic.

extended XYZ file:
```
11
Lattice="-2.917 -0.969 -3.637 4.498 -5.488 -2.145 -4.229 -2.085 7.066" Properties=species:S:1:pos:R:3 pbc="T T T"
Ce -2.386 -5.346 3.339
Ce 0.703 -6.449 -1.963
Ce -1.541 -5.886 -0.313
Ce -6.018 -4.187 2.826
Ce -1.108 -2.657 1.597
Ce -3.352 -2.094 3.246
Ce -0.262 -3.197 -2.055
Ce 3.370 -4.355 -1.542
Si -3.655 -4.102 0.908
Si 1.007 -4.441 0.376
Ir -1.459 -0.485 -1.819
```

[7]
First-principles (GGA-PBE) data for an optimized crystal structure of CeSi3Ir, as listed in Alexandria.

Computed properties:
Its total energy is -7.047 eV per atom. Its space group is I4mm, No. 107. Its size of the total moment is 0.05 μB/atom. The crystal system is tetragonal.

extended XYZ file:
```
5
Lattice="-1.866 3.801 -0.217 -3.662 -1.726 1.262 3.968 -0.180 4.142" Properties=species:S:1:pos:R:3 pbc="T T T"
Si -0.297 2.354 2.355
Si -1.195 -0.411 3.095
Si 0.992 0.706 3.842
Ir -2.394 1.301 1.955
Ce -1.571 1.889 5.150
```

[8]
First-principles (GGA-PBE) data for an optimized crystal structure of Ce4SiIr, as listed in Alexandria.

Computed properties:
Its total energy is -6.816 eV per atom. Its space group is P2_1/m, No. 11. Its size of the total moment is 0.27 μB/atom. The value obtained for the relative energy among the computed polymorphs is 0.0000 eV per atom. The crystal system is monoclinic.

extended XYZ file:
```
12
Lattice="4.384 0.000 -2.342 0.000 6.525 0.000 -0.299 0.000 9.954" Properties=species:S:1:pos:R:3 pbc="T T T"
Ce 2.913 1.631 2.810
Ce 1.171 4.894 4.802
Ce 2.517 1.631 7.313
Ce 1.568 4.894 0.300
Ce 4.184 0.219 -0.079
Ce -0.099 3.481 7.691
Ce 4.184 3.043 -0.079
Ce -0.099 6.306 7.691
Si 1.442 1.631 0.060
Si 2.643 4.894 7.552
Ir 1.204 1.631 4.881
Ir 2.880 4.894 2.731
```

[9]
First-principles (GGA-PBE) data for an optimized crystal structure of CeSi2Ir3, as listed in Alexandria.

Computed properties:
Its total energy is -8.138 eV per atom. Its space group is C2/m, No. 12. Its size of the total moment is 0.00 μB/atom. The value obtained for the relative energy among the computed polymorphs is 0.0146 eV per atom. The crystal system is monoclinic.

extended XYZ file:
```
18
Lattice="-1.081 -3.391 1.806 6.443 2.692 4.500 -8.028 4.391 3.439" Properties=species:S:1:pos:R:3 pbc="T T T"
Ce -3.746 3.386 4.114
Ce 1.080 0.307 5.631
Ce 0.000 0.000 0.000
Si 1.304 0.950 2.563
Si -3.970 2.743 7.181
Si 3.678 1.915 5.796
Si -6.344 1.777 3.948
Si -0.141 3.142 5.813
Si -2.525 0.551 3.932
Ir -2.139 1.534 1.599
Ir -0.527 2.159 8.146
Ir -0.534 2.157 3.730
Ir -2.131 1.535 6.015
Ir -0.692 -0.583 2.900
Ir -1.974 4.275 6.844
Ir -4.554 0.500 2.622
Ir 3.463 0.843 3.655
Ir -6.129 2.849 6.090
```

[10]
First-principles (GGA-PBE) data for an optimized crystal structure of Ce3Si2Ir4, as listed in Alexandria.

Computed properties:
Its total energy is -7.983 eV per atom. Its space group is C2/m, No. 12. Its size of the total moment is 0.00 μB/atom. The crystal system is monoclinic.

extended XYZ file:
```
9
Lattice="-2.152 -0.111 3.471 1.134 -5.221 -1.868 6.970 3.569 4.436" Properties=species:S:1:pos:R:3 pbc="T T T"
Ce 3.785 1.036 4.785
Ce 0.000 0.000 0.000
Ce 2.167 -2.800 1.254
Si 1.128 -0.589 3.085
Si 4.824 -1.174 2.954
Ir -0.520 -1.975 2.019
Ir 6.472 0.211 4.020
Ir 2.890 -1.963 4.134
Ir 3.063 0.200 1.905
```

[11]
First-principles (GGA-PBE) data for an optimized crystal structure of Ce6SiIr3, as listed in Alexandria.

Computed properties:
Its total energy is -7.325 eV per atom. Its space group is P2_1/m, No. 11. Its size of the total moment is 0.44 μB/atom. The crystal system is monoclinic.

extended XYZ file:
```
20
Lattice="-3.910 1.229 -0.044 -2.918 -9.480 -5.565 -0.855 -2.310 11.585" Properties=species:S:1:pos:R:3 pbc="T T T"
Ce -4.839 -4.986 4.416
Ce -2.844 -5.576 1.561
Ce -5.681 -7.963 -3.943
Ce -2.002 -2.599 9.919
Ce -4.126 -2.930 -1.542
Ce -3.557 -7.632 7.519
Ce -5.306 -6.665 -1.052
Ce -2.377 -3.897 7.029
Ce -3.686 -1.311 4.632
Ce -3.997 -9.251 1.344
Ce -5.917 -8.420 4.297
Ce -1.766 -2.142 1.679
Si -3.670 -1.151 7.738
Si -4.013 -9.411 -1.761
Ir -4.939 -5.207 7.189
Ir -2.744 -5.355 -1.212
Ir -5.358 -6.728 1.888
Ir -2.325 -3.834 4.088
Ir -3.440 -0.691 0.026
Ir -4.243 -9.871 5.951
```

[12]
First-principles (GGA-PBE) data for an optimized crystal structure of Ce7Si2Ir2, as listed in Alexandria.

Computed properties:
Its total energy is -6.800 eV per atom. Its space group is Cmmm, No. 65. Its size of the total moment is 0.23 μB/atom. The crystal system is orthorhombic.

extended XYZ file:
```
11
Lattice="6.593 -0.003 -0.736 0.003 6.636 0.003 -1.146 -0.002 6.535" Properties=species:S:1:pos:R:3 pbc="T T T"
Ce 6.019 1.906 2.534
Ce 2.156 4.723 6.167
Ce -0.569 4.725 3.267
Ce 3.295 1.908 -0.365
Ce 0.000 0.000 0.000
Ce 2.727 4.694 2.900
Ce 2.723 1.936 2.902
Si 4.620 3.314 4.918
Si 0.830 3.317 0.884
Ir 4.373 0.000 1.350
Ir 1.077 6.630 4.452
```

no.,uncorrected formation energy (eV/atom)
1,-0.974
2,-0.996
3,-0.459
4,-0.870
5,-0.356
6,-0.369
7,-0.835
8,-0.479
9,-0.911
10,-0.862
11,-0.564
12,-0.427